Entry from Alexandria: MnV2NiP after structural relaxation (GGA-PBE).

```
data_MnV2NiP
_symmetry_space_group_name_H-M 'P 4/m m m'
_symmetry_Int_Tables_number 123
_symmetry_space_group_name_Hall '-P 4 2'
_cell_length_a 4.367
_cell_length_b 4.367
_cell_length_c 3.940
_cell_angle_alpha 90.00
_cell_angle_beta 90.00
_cell_angle_gamma 90.00
loop_
_atom_site_label
_atom_site_type_symbol
_atom_site_fract_x
_atom_site_fract_y
_atom_site_fract_z
Mn1 Mn 0.000 0.000 0.000
V1 V 0.000 0.500 0.500
Ni1 Ni 0.500 0.500 0.500
P1 P 0.500 0.500 0.000
```

Values from the calculation:
Formation energy in meV per atom: 986.7
Crystal system: tetragonal